VASP calculation (meta-GGA SCAN) on KSrAg2 at its PBEsol-relaxed geometry.

Unit cell a=4.331 b=4.331 c=25.531 alpha=90.00 beta=90.00 gamma=120.00
Sites, in units of the cell vectors:
1 K 0.000 0.000 0.000
2 K 0.333 0.667 0.667
3 K 0.667 0.333 0.333
4 Sr 0.000 0.000 0.500
5 Sr 0.333 0.667 0.167
6 Sr 0.667 0.333 0.833
7 Ag 0.000 0.000 0.243
8 Ag 0.000 0.000 0.757
9 Ag 0.333 0.667 0.424
10 Ag 0.333 0.667 0.910
11 Ag 0.667 0.333 0.090
12 Ag 0.667 0.333 0.576

Summary:
* total energy: -23.2938 eV per atom
* crystal system: trigonal
* space-group type: R-3m